Record 1
First-principles (GGA-PBE) data for crystalline Ba2GaHg at its relaxed geometry, as listed in Alexandria via LeMat-Bulk.

Properties
ΔE_f: 96 meV/atom

Cell: 4.3574 4.3574 11.7826 Å, 79.34 79.34 60.00°
Atoms (fractional coordinates):
Ga 0.0000 0.0000 0.0000
Ba 0.9019 0.9019 0.2944
Ba 0.0981 0.0981 0.7056
Hg 0.5000 0.5000 0.5000

---

Record 2
First-principles (GGA-PBE) data for crystalline TmTi4In at its relaxed geometry, as listed in Alexandria via LeMat-Bulk.

Properties
ΔE_f: 89 meV/atom

Cell: 5.5710 5.5710 5.5710 Å, 60.00 60.00 60.00°
Atoms (fractional coordinates):
Ti 0.1315 0.6228 0.6228
Ti 0.6228 0.6228 0.6228
Ti 0.6228 0.6228 0.1315
Ti 0.6228 0.1315 0.6228
Tm 0.2500 0.2500 0.2500
In 0.0000 0.0000 0.0000

---

Record 3
First-principles (GGA-PBE) data for crystalline Ta2MnAg at its relaxed geometry, as listed in Alexandria via LeMat-Bulk.

Properties
ΔE_f: 197 meV/atom
excess energy over the best structure of this formula in the dataset: 0.050 eV per atom

Cell: 2.8119 2.8119 8.8535 Å, 90.00 90.00 102.70°
Atoms (fractional coordinates):
Ag 0.0000 0.0000 0.5117
Ta 0.0000 0.0000 0.9870
Ta 0.5000 0.5000 0.2458
Mn 0.5000 0.5000 0.7555

---

Q: The lowest ΔE_f belongs to which entry?
A: TmTi4In